5
Lattice="4.7839 0.0000 0.0000 0.0000 4.0148 0.0000 0.0000 0.0000 4.7839" Properties=species:S:1:pos:R:3 comment="Cd2FeNF (PBE with a Hubbard U, relaxed)" dos_at_fermi_per_ev_cell=1.307 total_magnetization_mub_per_fu=4.0 crystal_system=tetragonal dft_energy_ev_per_atom=-2.81 pbc="T T T"
N 2.3919 2.0074 2.3919
F 0.0000 0.0000 0.0000
Fe 0.0000 2.0074 0.0000
Cd 0.0000 0.0000 2.3919
Cd 2.3919 0.0000 0.0000